Record 1
The following is a DFT calculation (PBEsol) of a geometry-optimized ZnOs2Au structure.

It has space group P4/mmm (No. 123), with a = 2.695 Å, b = 2.695 Å, c = 8.010 Å, α = 90.00°, β = 90.00° and γ = 90.00°. Symmetry generates all atoms from Zn at (0.000, 0.000, 0.000), Os at (0.500, 0.500, 0.240) and Au at (0.000, 0.000, 0.500).

As for the crystal system: tetragonal. The calculation puts the magnetic moment at 0.001 Bohr magnetons per cell.



Record 2
The following is a DFT calculation (PBEsol) of a geometry-optimized ZnOs2Au structure.

It has space group P4/mmm (No. 123), with a = 3.767 Å, b = 3.767 Å, c = 4.105 Å, α = 90.00°, β = 90.00° and γ = 90.00°. Symmetry generates all atoms from Zn at (0.000, 0.000, 0.000), Os at (0.000, 0.500, 0.500) and Au at (0.500, 0.500, 0.000).

As for the crystal system: tetragonal. The calculation puts the magnetic moment at 0.001 Bohr magnetons per cell.



Record 3
The following is a DFT calculation (PBEsol) of a geometry-optimized Zn2OsAu structure.

It has space group P4/mmm (No. 123), with a = 4.115 Å, b = 4.115 Å, c = 3.336 Å, α = 90.00°, β = 90.00° and γ = 90.00°. Symmetry generates all atoms from Zn at (0.000, 0.500, 0.000), Os at (0.000, 0.000, 0.500) and Au at (0.500, 0.500, 0.500).

As for the crystal system: tetragonal. The calculation puts the magnetic moment at 0.000 Bohr magnetons per cell.



Formation energy (computed, kJ/mol of formula units): 249; 223; 25